No. 1
DFT (PBE) results for an optimized crystal structure of Ta2ReW.

Structure (POSCAR):
```
Ta2ReW
1.0
-0.4639 6.2818 0.5143
-1.7720 0.3773 -6.2065
-6.2002 -0.5998 1.7337
Ta Re W
8 4 4
direct
0.0006 0.4999 0.7500
0.0006 0.0000 0.7500
0.5006 0.0000 0.7500
0.9994 0.0000 0.2500
0.5006 0.5001 0.7500
0.4994 0.4999 0.2500
0.9994 0.5001 0.2500
0.4994 0.0000 0.2500
0.7502 0.2500 0.0000
0.2502 0.7500 0.5001
0.7498 0.2500 0.4999
0.2498 0.7500 0.0000
0.7500 0.7500 0.0005
0.7500 0.7500 0.5005
0.2500 0.2500 0.9995
0.2500 0.2500 0.4995
```

Output
Calculated volume in Å³/f.u.: 66
Space-group type: No. 65
Magnetic moment in μB per formula unit: 0.00
E in eV/atom: -12.54


No. 2
DFT (PBE) results for an optimized crystal structure of SnAsIrO.

Structure (POSCAR):
```
SnAsIrO
1.0
3.9682 0.0000 0.0000
0.0000 5.6614 0.0000
0.0000 0.0000 6.8986
As Sn O Ir
2 2 2 2
direct
0.0000 0.1679 0.8032
0.0000 0.8321 0.3032
0.5000 0.6416 0.5627
0.5000 0.3584 0.0627
0.5000 0.7161 0.9283
0.5000 0.2839 0.4283
0.0000 0.2098 0.4597
0.0000 0.7902 0.9597
```

Output
Calculated volume in Å³/f.u.: 77
Distance to the lowest polymorph of the same formula in eV/f.u.: 2.54
Space-group type: No. 26
Magnetic moment in μB per formula unit: 0.01
E in eV/atom: -5.71


No. 3
DFT (PBE) results for an optimized crystal structure of Gd2YGa2Hg3Au.

Structure (POSCAR):
```
Gd2YGa2Hg3Au
1.0
4.2875 0.0000 0.0000
0.0000 6.4499 3.7297
0.0000 -6.4499 3.7297
Gd Hg Y Ga Au
2 3 1 2 1
direct
0.0000 0.0004 0.4085
0.0000 0.4085 0.0004
0.5000 0.7343 0.9998
0.5000 0.9998 0.7343
0.5000 0.2657 0.2657
0.0000 0.5918 0.5918
0.5000 0.6664 0.3340
0.5000 0.3340 0.6664
0.0000 0.9991 0.9991
```

Output
Calculated volume in Å³/f.u.: 206
Space-group type: No. 38
Magnetic moment in μB per formula unit: 0.00
E in eV/atom: -3.45


No. 4
DFT (PBE) results for an optimized crystal structure of ErCdH2Cl2O2.

Structure (POSCAR):
```
ErCdH2Cl2O2
1.0
3.8730 0.0000 0.0000
-1.9365 3.3541 0.0000
0.0000 0.0000 10.3558
H Er Cd O Cl
2 1 1 2 2
direct
0.6667 0.3333 0.1777
0.6667 0.3333 0.6799
0.0000 0.0000 0.5371
0.3333 0.6667 0.0213
0.6667 0.3333 0.5840
0.6667 0.3333 0.0826
0.0000 0.0000 0.7846
0.3333 0.6667 0.3737
```

Output
Calculated volume in Å³/f.u.: 135
Space-group type: No. 156
Magnetic moment in μB per formula unit: 0.23
E in eV/atom: -4.73


No. 5
DFT (PBE) results for an optimized crystal structure of NdDyC2I2.

Structure (POSCAR):
```
NdDyC2I2
1.0
-0.2754 3.9282 1.4800
-3.4391 1.5578 1.8556
4.7882 -4.9631 9.0095
C I Dy Nd
2 2 1 1
direct
0.0843 0.0843 0.0210
0.9113 0.9113 0.9650
0.2093 0.2093 0.6876
0.7926 0.7926 0.3242
0.6005 0.6005 0.8741
0.4020 0.4020 0.1282
```

Output
Calculated volume in Å³/f.u.: 164
Space-group type: No. 8
Magnetic moment in μB per formula unit: 0.00
E in eV/atom: -6.00


No. 6
DFT (PBE) results for an optimized crystal structure of Na2AuO4.

Structure (POSCAR):
```
Na2AuO4
1.0
4.6015 -4.6047 0.0000
-4.6015 0.0000 -4.6047
4.6015 4.6047 0.0000
O Na Au
8 4 2
direct
0.1209 0.7579 0.8788
0.1212 0.2421 0.8791
0.6288 0.2579 0.3709
0.6370 0.7579 0.8791
0.6291 0.7421 0.3712
0.1209 0.2421 0.3630
0.6291 0.2579 0.8870
0.1130 0.7421 0.3709
0.8750 0.2500 0.6250
0.3750 0.7500 0.6250
0.3750 0.7500 0.1250
0.3750 0.2500 0.6250
0.0000 0.0000 0.0000
0.7500 0.5000 0.2500
```

Output
Calculated volume in Å³/f.u.: 98
Space-group type: No. 227
E in eV/atom: -3.86